InCu2HRu: relaxed, PBE.

Output
Its final energy is -17.93 eV for the cell shown.

Cell lengths 4.900, 4.900, 3.305 Å; angles 90.00, 90.00, 90.00 degrees
Atoms (fractional coordinates):
In (0.000, 0.000, 0.000)
Cu (0.000, 0.500, 0.000)
Cu (0.500, 0.000, 0.000)
H (0.000, 0.000, 0.500)
Ru (0.500, 0.500, 0.500)